{
  "formula": "CaSbIr",
  "functional": "PBEsol",
  "state": "optimized geometry",
  "e_tot_ev_per_fu": -17.54,
  "magnetic_moment_mub_per_fu": 0.00,
  "spacegroup": "No. 107",
  "lattice_angstrom": [[3.323, 0.000, 0.000], [0.000, 3.323, 0.000], [-1.661, -1.661, 5.776]],
  "species": ["Sb", "Ir", "Ca"],
  "frac_coords": [[0.698, 0.698, 0.396], [0.314, 0.314, 0.628], [0.988, 0.988, 0.977]]
}

{
  "formula": "CaSb2Ir",
  "functional": "PBEsol",
  "state": "optimized geometry",
  "e_tot_ev_per_fu": -21.84,
  "magnetic_moment_mub_per_fu": 0.00,
  "spacegroup": "No. 123",
  "lattice_angstrom": [[-0.469, 3.213, -2.447], [2.130, -2.217, -3.320], [-3.958, -1.665, -1.427]],
  "species": ["Sb", "Sb", "Ir", "Ca"],
  "frac_coords": [[0.000, 0.500, 0.000], [0.000, 0.000, 0.500], [0.500, 0.000, 0.000], [0.500, 0.500, 0.500]]
}

{
  "formula": "Ca2SbIr",
  "functional": "PBEsol",
  "state": "optimized geometry",
  "e_tot_ev_per_fu": -20.67,
  "magnetic_moment_mub_per_fu": 0.00,
  "spacegroup": "No. 44",
  "lattice_angstrom": [[3.299, 0.000, 0.000], [0.000, 4.873, 0.000], [-1.649, -2.436, 6.049]],
  "species": ["Ca", "Sb", "Ir", "Ca"],
  "frac_coords": [[0.000, 0.000, 0.999], [0.813, 0.313, 0.627], [0.486, 0.486, 0.972], [0.201, 0.701, 0.401]]
}

{
  "formula": "Ca2SbIr",
  "functional": "PBEsol",
  "state": "optimized geometry",
  "e_tot_ev_per_fu": -20.18,
  "magnetic_moment_mub_per_fu": 0.00,
  "spacegroup": "No. 65",
  "lattice_angstrom": [[-3.227, -0.784, 0.846], [1.488, -4.777, 1.246], [0.474, 2.737, 4.345]],
  "species": ["Sb", "Ir", "Ca", "Ca"],
  "frac_coords": [[0.500, 0.500, 0.500], [0.500, 0.000, 0.000], [0.000, 0.000, 0.500], [0.000, 0.500, 0.000]]
}

{
  "formula": "CaSbTe2Ir",
  "functional": "PBEsol",
  "state": "optimized geometry",
  "e_tot_ev_per_fu": -24.11,
  "magnetic_moment_mub_per_fu": 0.00,
  "spacegroup": "No. 123",
  "lattice_angstrom": [[4.847, 0.000, 0.000], [0.000, 5.518, 0.000], [0.000, 0.000, 5.518]],
  "species": ["Ca", "Te", "Sb", "Ir", "Te"],
  "frac_coords": [[0.500, 0.500, 0.500], [0.000, 0.500, 0.000], [0.500, 0.000, 0.000], [0.000, 0.000, 0.000], [0.000, 0.000, 0.500]]
}

{
  "formula": "CaSb2TeIr",
  "functional": "PBEsol",
  "state": "optimized geometry",
  "e_tot_ev_per_fu": -16.82,
  "magnetic_moment_mub_per_fu": 1.35,
  "spacegroup": "No. 123",
  "lattice_angstrom": [[5.385, 0.000, 0.000], [0.000, 5.440, 0.000], [0.000, 0.000, 5.440]],
  "species": ["Sb", "Ca", "Sb", "Te", "Ir"],
  "frac_coords": [[0.000, 0.000, 0.500], [0.000, 0.000, 0.000], [0.000, 0.500, 0.000], [0.500, 0.000, 0.000], [0.500, 0.500, 0.500]]
}

Number 1: ΔE_f (raw) -0.34 eV/atom. Number 2: ΔE_f (raw) -0.19 eV/atom. Number 3: ΔE_f (raw) -0.51 eV/atom. Number 4: ΔE_f (raw) -0.38 eV/atom. Number 5: ΔE_f (raw) -0.11 eV/atom. Number 6: ΔE_f (raw) 1.56 eV/atom.